1.
VASP calculation (PBE) on crystalline MnAgH3 at its relaxed geometry.

```
5
Lattice="-3.1628 0.3720 1.7617 0.9510 -2.6786 2.2729 1.5289 2.4355 2.2306" Properties=species:S:1:pos:R:3 pbc="T T T"
H 0.7645 1.2178 1.1153
H 0.4755 -1.3393 1.1364
Ag 0.0000 0.0000 0.0000
H -1.5814 0.1860 0.8809
Mn -0.3414 0.0645 3.1326
```

VASP energy	-3.7791	eV/atom
mass density	5.712	g cm⁻³
size of the total moment	4.185	Bohr magnetons per cell

2.
VASP calculation (PBE) on crystalline MnAgH3 at its relaxed geometry.

```
5
Lattice="-3.2659 1.1100 0.1345 -0.4829 -1.7748 2.9212 1.0085 2.7449 1.8344" Properties=species:S:1:pos:R:3 pbc="T T T"
H -1.6330 0.5550 0.0673
H -0.2414 -0.8874 1.4606
Mn 0.0000 0.0000 0.0000
Ag -1.3702 1.0401 2.4450
H 0.5042 1.3725 0.9172
```

VASP energy	-4.1640	eV/atom
mass density	6.694	g cm⁻³
size of the total moment	2.738	Bohr magnetons per cell

3.
VASP calculation (PBE) on crystalline Mn3Ag5H12 at its relaxed geometry.

```
80
Lattice="-7.2047 -4.7341 4.5605 1.6051 -4.1197 -8.6931 8.1225 -0.4846 5.3766" Properties=species:S:1:pos:R:3 pbc="T T T"
H 0.3860 -4.9982 8.0352
H 0.2749 -2.5741 -2.5011
H -1.2106 -3.3206 -1.6201
H 1.9751 -2.9810 3.7392
H -2.7669 -3.5264 3.6610
H 0.8886 -8.2188 1.0888
Ag -1.0679 -6.6847 -3.4120
Ag -3.6023 -2.3670 2.2803
H -2.0881 -5.5752 1.5795
H 2.6140 -6.9582 -1.8289
Ag 3.8080 -6.4726 1.0350
H -2.1147 -5.2848 3.8132
Ag 0.8025 -2.0598 -4.3465
H 4.6376 -4.0536 -2.5691
Ag 4.8638 -2.3021 -1.6582
H -3.9857 -5.9333 2.7393
H -0.0308 -3.8635 -4.3227
Mn 6.3092 -4.1823 0.4115
Mn 3.5786 -5.1679 -1.4492
Ag 3.5907 -2.6537 4.6560
H 2.2479 -6.7643 3.7451
H 5.2898 -5.8119 -2.4170
H -4.0122 -7.7377 -3.7050
H 3.7335 -6.0178 2.8641
H 4.9431 -5.6103 -0.2003
Mn -4.0728 -4.7784 4.2480
Ag 1.2614 -4.6692 0.6220
H 0.2345 -4.3706 4.0763
H 3.6996 -4.2415 -5.7479
Ag 4.0612 -0.2423 2.6883
H 0.0776 -3.2984 1.4393
H -1.1767 -5.0968 6.9919
Mn -1.0557 -4.1704 2.6933
H 5.5572 -3.4417 1.9937
Ag 1.7319 -2.2578 -1.3457
H 2.4453 -6.0400 -0.1952
H 0.7233 -5.2000 2.4597
Ag -0.8263 -5.4751 5.1775
Ag -2.7998 -4.4269 -2.0663
Ag 3.3491 -3.8632 -3.9335
Ag 0.4589 -2.6093 4.9685
H -0.5764 -8.0236 -0.0757
H -1.2941 -4.8152 -3.3034
H -4.4337 -6.9242 -0.0242
H 6.9566 -2.4142 1.2683
H -4.4540 -4.1621 2.3103
Mn 6.6078 -2.0457 3.1013
Mn 0.3320 -4.4712 -2.3788
Ag -1.3544 -6.3071 0.0034
H 6.9768 -5.1762 -1.0663
Mn -4.0850 -7.2927 -1.8573
H -3.0343 -5.8966 -0.7497
H 3.8170 -4.5231 4.5474
Mn 2.1908 -4.8671 3.6229
H 4.6110 -3.7632 -0.3354
H 2.2417 -3.6053 1.9843
Ag 3.8773 -3.0313 1.2406
Mn 1.0775 -7.4581 -0.8257
Ag 0.0000 0.0000 0.0000
Ag 1.9043 -4.4895 7.0383
H -2.4202 -3.7280 1.4443
H 2.5537 -5.4748 5.5667
H 2.2884 -4.9678 -2.8323
H 4.8861 -1.4183 4.0613
Ag 0.6186 -4.8488 -5.7942
H 0.5477 -6.3573 -2.4951
H 1.7996 -4.1383 -1.2157
Mn -3.7863 -5.1560 0.8326
Mn 6.5957 -4.5599 -3.0039
H 6.5350 -1.6007 4.9490
H 2.1368 -4.3402 -6.7912
H -0.0912 -2.3802 3.0729
H 0.2812 -5.7330 -0.7403
H 6.5086 -3.4050 -1.4953
H 1.6343 -1.1195 0.1552
Mn 1.4454 -1.8802 2.0697
Ag 0.7909 -7.0806 2.5897
Ag -1.2852 -2.8658 0.2090
H -2.3632 -7.9201 -2.8172
H 3.0993 -1.3148 1.3198
```

VASP energy	-3.7617	eV/atom
mass density	6.662	g cm⁻³
size of the total moment	40.385	Bohr magnetons per cell

4.
VASP calculation (PBE) on crystalline Mn2AgH at its relaxed geometry.

```
8
Lattice="5.3543 0.0000 0.0000 0.0000 5.3543 0.0000 2.6771 2.6771 3.7765" Properties=species:S:1:pos:R:3 pbc="T T T"
H 2.6771 5.3543 1.8882
Mn 4.0157 5.3534 2.8324
Mn 2.6763 4.0157 0.9441
Ag 5.3543 2.6771 1.8882
Ag 0.0000 0.0000 0.0000
Mn 6.6928 5.3551 2.8324
Mn 2.6780 1.3386 0.9441
H 2.6771 2.6771 0.0000
```

VASP energy	-5.7385	eV/atom
mass density	6.710	g cm⁻³
size of the total moment	13.717	Bohr magnetons per cell

5.
VASP calculation (PBE) on crystalline MnAg3H at its relaxed geometry.

```
5
Lattice="4.1837 0.0000 0.0000 0.0000 4.1837 0.0000 0.0000 0.0000 4.1837" Properties=species:S:1:pos:R:3 pbc="T T T"
H 0.0000 0.0000 0.0000
Ag 0.0000 2.0919 0.0000
Ag 0.0000 0.0000 2.0919
Ag 2.0919 0.0000 0.0000
Mn 2.0919 2.0919 2.0919
```

VASP energy	-3.8454	eV/atom
mass density	8.606	g cm⁻³
size of the total moment	4.294	Bohr magnetons per cell

6.
VASP calculation (PBE) on crystalline Na2MnAgH6 at its relaxed geometry.

```
10
Lattice="5.2392 0.0074 0.0039 0.0074 5.2284 -0.0031 2.6261 2.6158 3.6802" Properties=species:S:1:pos:R:3 pbc="T T T"
Na 2.6314 5.2406 1.8451
H 4.0358 1.2120 0.0081
Ag 2.6233 2.6179 0.0004
H 2.6293 2.6128 1.9776
Mn 0.0000 0.0000 0.0000
H 3.8369 6.6396 3.6730
H 3.8250 3.8180 3.6796
H 4.0477 4.0336 0.0014
H 5.2433 5.2388 1.7034
Na 5.2413 2.6110 1.8359
```

VASP energy	-3.4943	eV/atom
mass density	3.539	g cm⁻³
size of the total moment	2.628	Bohr magnetons per cell

7.
VASP calculation (PBE) on crystalline MnNiAg2H at its relaxed geometry.

```
5
Lattice="4.8292 0.0000 0.0000 0.0000 4.4646 0.0000 0.0000 0.0000 4.8292" Properties=species:S:1:pos:R:3 pbc="T T T"
Ni 0.0000 0.0000 0.0000
Ag 2.4146 0.0000 0.0000
Ag 0.0000 0.0000 2.4146
H 2.4146 2.2323 2.4146
Mn 0.0000 2.2323 0.0000
```

VASP energy	-3.6056	eV/atom
mass density	5.269	g cm⁻³
size of the total moment	4.308	Bohr magnetons per cell

8.
VASP calculation (PBE) on crystalline MnNi2AgH at its relaxed geometry.

```
5
Lattice="3.7864 0.0000 0.0000 0.0000 3.7864 0.0000 0.0000 0.0000 3.8436" Properties=species:S:1:pos:R:3 pbc="T T T"
Ni 0.0000 1.8932 0.0000
Mn 0.0000 0.0000 1.9218
H 0.0000 0.0000 0.0000
Ag 1.8932 1.8932 1.9218
Ni 1.8932 0.0000 0.0000
```

VASP energy	-5.3232	eV/atom
mass density	8.474	g cm⁻³
size of the total moment	4.669	Bohr magnetons per cell

9.
VASP calculation (PBE) on crystalline Mn2AgHPt at its relaxed geometry.

```
5
Lattice="4.0093 0.0000 0.0000 0.0000 4.0093 0.0000 0.0000 0.0000 3.9742" Properties=species:S:1:pos:R:3 pbc="T T T"
H 0.0000 0.0000 0.0000
Mn 2.0046 0.0000 0.0000
Mn 0.0000 2.0046 0.0000
Pt 2.0046 2.0046 1.9871
Ag 0.0000 0.0000 1.9871
```

VASP energy	-6.0324	eV/atom
mass density	10.757	g cm⁻³
size of the total moment	7.770	Bohr magnetons per cell

10.
VASP calculation (PBE) on crystalline MnAgHPt2 at its relaxed geometry.

```
5
Lattice="4.0303 0.0000 0.0000 0.0000 4.0303 0.0000 0.0000 0.0000 4.1101" Properties=species:S:1:pos:R:3 pbc="T T T"
Pt 0.0000 2.0151 0.0000
Ag 0.0000 0.0000 2.0551
Pt 2.0151 0.0000 0.0000
Mn 2.0151 2.0151 2.0551
H 0.0000 0.0000 0.0000
```

VASP energy	-5.5528	eV/atom
mass density	13.779	g cm⁻³
size of the total moment	4.825	Bohr magnetons per cell

11.
VASP calculation (PBE) on crystalline MnAgHPt2 at its relaxed geometry.

```
5
Lattice="4.0177 0.0000 0.0000 0.0000 4.0177 0.0000 0.0000 0.0000 4.0889" Properties=species:S:1:pos:R:3 pbc="T T T"
H 0.0000 0.0000 0.0000
Mn 0.0000 0.0000 2.0445
Pt 0.0000 2.0089 0.0000
Pt 2.0089 0.0000 0.0000
Ag 2.0089 2.0089 2.0445
```

VASP energy	-5.5863	eV/atom
mass density	13.937	g cm⁻³
size of the total moment	4.674	Bohr magnetons per cell

12.
VASP calculation (PBE) on crystalline Rb2MnAgH6 at its relaxed geometry.

```
10
Lattice="5.8373 0.4221 0.0001 0.4231 5.8372 0.0000 3.1303 3.1299 4.4353" Properties=species:S:1:pos:R:3 pbc="T T T"
Rb 3.3418 6.0484 2.2177
H 5.0070 7.5133 4.4353
Ag 6.2604 6.2594 4.4353
H 3.1303 3.1298 2.7324
H 4.3346 4.3339 4.4353
Rb 6.0489 3.3408 2.2177
H 5.0563 5.0554 0.0001
H 6.2604 6.2594 1.7030
H 7.5141 5.0057 4.4354
Mn 6.2604 6.2593 0.0001
```

VASP energy	-3.4237	eV/atom
mass density	3.753	g cm⁻³
size of the total moment	4.001	Bohr magnetons per cell